No. 1
# UTe3Pd

A relaxed UTe3Pd crystal (PBE, the Alexandria database).

Calculated values
Energy relative to the elements, uncorrected (eV per atom): -0.42
Crystal system: orthorhombic

Unit cell a=4.138 b=13.770 c=10.278 alpha=90.00 beta=90.00 gamma=90.00
Space group Cmcm (No. 63)
One atom of each set of equivalent atoms:
U 0.000 0.246 0.250 (multiplicity 4)
Te 0.000 0.162 0.564 (multiplicity 8)
Te 0.000 0.414 0.750 (multiplicity 4)
Pd 0.000 0.029 0.750 (multiplicity 4)

=====

No. 2
# Zr3C

A relaxed Zr3C crystal (PBE, the Alexandria database).

Calculated values
Crystal system: tetragonal
Raw total energy (eV/atom): -8.109

Unit cell a=3.806 b=3.806 c=20.824 alpha=90.00 beta=90.00 gamma=90.00
Space group I4/mmm (No. 139)
One atom of each set of equivalent atoms:
Zr 0.000 0.000 0.120 (multiplicity 4)
Zr 0.000 0.500 0.000 (multiplicity 4)
Zr 0.000 0.500 0.250 (multiplicity 4)
C 0.000 0.000 0.422 (multiplicity 4)

=====

No. 3
# Ac2PmNdSm

A relaxed Ac2PmNdSm crystal (PBE, the Alexandria database).

Calculated values
Crystal system: orthorhombic
Raw total energy (eV/atom): -4.238

Unit cell a=6.465 b=8.934 c=6.911 alpha=90.00 beta=90.00 gamma=90.00
Space group Pmma (No. 51)
One atom of each set of equivalent atoms:
Ac 0.250 0.203 0.203 (multiplicity 4)
Pm 0.250 0.000 0.670 (multiplicity 2)
Nd 0.250 0.500 0.915 (multiplicity 2)
Sm 0.000 0.500 0.500 (multiplicity 2)

=====

N(E_F), respectively: 24.5 18.5 13.4 states/eV per cell.